# 1
## ZrMnIN2 (GGA-PBE)

Data for a relaxed structure of ZrMnIN2.

a b c (Å): 4.1929 6.0176 4.1929
angles (deg): 90.00 90.00 90.00
With the nearest neighbours (Å) after each atom.
Fractional coordinates of all 5 atoms:
I  0.0000  0.5000  0.0000  4 Mn 2.96, 2 Zr 3.01
N  0.5000  0.0000  0.0000  2 Zr 2.10
Mn  0.5000  0.5000  0.5000  4 I 2.96
N  0.0000  0.0000  0.5000  2 Zr 2.10
Zr  0.0000  0.0000  0.0000  4 N 2.10

Summary:
The value obtained for the density of states at the Fermi level is 2.1 states/eV per cell. The total energy is -0.2445 Ha/atom. Its crystal system is tetragonal.

***

# 2
## NaMnI4 (GGA-PBE)

Data for a relaxed structure of NaMnI4.

a b c (Å): 4.2343 8.6620 7.7483
angles (deg): 121.82 90.00 104.15
With the nearest neighbours (Å) after each atom.
Fractional coordinates of all 6 atoms:
Na  0.0000  0.0000  0.0000  6 I 3.18-3.19
Mn  0.5000  0.0000  0.5000  6 I 2.67-2.91
I  0.8841  0.7682  0.5103  2 Mn 2.91, 1 Na 3.19
I  0.6143  0.2286  0.9098  1 Mn 2.67
I  0.1159  0.2318  0.4897  2 Mn 2.91, 1 Na 3.19
I  0.3857  0.7714  0.0902  1 Mn 2.67

Summary:
The value obtained for the density of states at the Fermi level is 1.2 states/eV per cell. The total energy is -0.1242 Ha/atom. Its crystal system is monoclinic.

***

# 3
## NaMn2I (GGA-PBE)

Data for a relaxed structure of NaMn2I.

a b c (Å): 8.7445 8.7445 6.8430
angles (deg): 50.29 50.29 90.00
With the nearest neighbours (Å) after each atom.
Fractional coordinates of all 8 atoms:
Na  0.5000  0.5000  0.0000  2 I 2.93
Mn  0.3750  0.3455  0.7500  2 Mn 2.98, 2 I 3.01
Mn  0.8750  0.9045  0.7500  2 Mn 2.98, 2 I 3.01
Mn  0.0955  0.6250  0.2500  2 Mn 2.98, 2 I 3.01
I  0.0000  0.0000  0.0000  2 Na 2.93, 4 Mn 3.01
Mn  0.6545  0.1250  0.2500  2 Mn 2.98, 2 I 3.01
I  0.7500  0.2500  0.5000  2 Na 2.93, 4 Mn 3.01
Na  0.2500  0.7500  0.5000  2 I 2.93

Summary:
The value obtained for the density of states at the Fermi level is 22.9 states/eV per cell. The total energy is -0.1682 Ha/atom. Its crystal system is tetragonal.

***

# 4
## Na3Mn5I12 (GGA-PBE)

Data for a relaxed structure of Na3Mn5I12.

a b c (Å): 15.7043 15.7043 15.7043
angles (deg): 109.47 109.47 109.47
With the nearest neighbours (Å) after each atom.
Fractional coordinates of all 80 atoms:
I  0.0928  0.9139  0.1188  2 Mn 2.71-2.93
Mn  0.6250  0.8750  0.2500  4 I 2.71
Na  0.2500  0.1250  0.3750  8 I 3.51-3.59
I  0.9740  0.3812  0.2951  2 Mn 2.71-2.93
I  0.0861  0.1788  0.2049  2 Mn 2.71-2.93
Mn  0.2500  0.8750  0.1250  4 I 2.71
Mn  0.3750  0.1250  0.7500  4 I 2.71
Na  0.1250  0.8750  0.7500  8 I 3.51-3.59
Mn  0.8750  0.6250  0.7500  4 I 2.71
Na  0.1250  0.2500  0.8750  8 I 3.51-3.59
I  0.5260  0.2049  0.1188  2 Mn 2.71-2.93
Mn  0.3750  0.2500  0.1250  4 I 2.71
Mn  0.5000  0.0000  0.0000  6 I 2.93
I  0.8212  0.9072  0.0260  2 Mn 2.71-2.93
I  0.4072  0.0260  0.3212  2 Mn 2.71-2.93
I  0.4139  0.1188  0.5928  2 Mn 2.71-2.93
I  0.5928  0.9740  0.6788  2 Mn 2.71-2.93
I  0.3212  0.7951  0.4139  2 Mn 2.71-2.93
Na  0.6250  0.3750  0.7500  8 I 3.51-3.59
I  0.7049  0.5861  0.1788  2 Mn 2.71-2.93
Mn  0.5000  0.0000  0.5000  6 I 2.93
I  0.7951  0.3212  0.9139  2 Mn 2.71-2.93
I  0.4072  0.3812  0.5861  2 Mn 2.71-2.93
Na  0.3750  0.7500  0.6250  8 I 3.51-3.59
Mn  0.0000  0.5000  0.5000  6 I 2.93
I  0.3212  0.5260  0.4072  2 Mn 2.71-2.93
I  0.9139  0.8212  0.7951  2 Mn 2.71-2.93
I  0.1788  0.0928  0.9740  2 Mn 2.71-2.93
I  0.0861  0.9072  0.3812  2 Mn 2.71-2.93
I  0.9072  0.0861  0.8812  2 Mn 2.71-2.93
I  0.8812  0.2951  0.4740  2 Mn 2.71-2.93
I  0.4740  0.6788  0.0928  2 Mn 2.71-2.93
Na  0.7500  0.3750  0.1250  8 I 3.51-3.59
Mn  0.0000  0.0000  0.5000  6 I 2.93
I  0.8812  0.5861  0.9072  2 Mn 2.71-2.93
Mn  0.8750  0.2500  0.6250  4 I 2.71
I  0.0260  0.4072  0.8212  2 Mn 2.71-2.93
I  0.7951  0.4740  0.3812  2 Mn 2.71-2.93
I  0.0928  0.1788  0.4740  2 Mn 2.71-2.93
I  0.1788  0.0861  0.7049  2 Mn 2.71-2.93
Na  0.8750  0.1250  0.2500  8 I 3.51-3.59
Na  0.7500  0.8750  0.6250  8 I 3.51-3.59
I  0.7049  0.1188  0.0260  2 Mn 2.71-2.93
Mn  0.1250  0.7500  0.3750  4 I 2.71
Na  0.3750  0.6250  0.2500  8 I 3.51-3.59
I  0.0260  0.6188  0.7049  2 Mn 2.71-2.93
I  0.5861  0.7049  0.6788  2 Mn 2.71-2.93
I  0.1188  0.4139  0.0928  2 Mn 2.71-2.93
I  0.2951  0.4139  0.8212  2 Mn 2.71-2.93
I  0.9740  0.5928  0.1788  2 Mn 2.71-2.93
I  0.1188  0.7049  0.5260  2 Mn 2.71-2.93
Mn  0.5000  0.5000  0.0000  6 I 2.93
I  0.3812  0.9740  0.7951  2 Mn 2.71-2.93
I  0.6788  0.2049  0.5861  2 Mn 2.71-2.93
Na  0.8750  0.7500  0.1250  8 I 3.51-3.59
Mn  0.7500  0.6250  0.3750  4 I 2.71
Mn  0.2500  0.3750  0.6250  4 I 2.71
I  0.4740  0.7951  0.8812  2 Mn 2.71-2.93
I  0.5260  0.3212  0.9072  2 Mn 2.71-2.93
I  0.5928  0.6188  0.4139  2 Mn 2.71-2.93
Mn  0.0000  0.5000  0.0000  6 I 2.93
Na  0.2500  0.6250  0.8750  8 I 3.51-3.59
I  0.2049  0.5260  0.6188  2 Mn 2.71-2.93
I  0.6188  0.0260  0.2049  2 Mn 2.71-2.93
I  0.2049  0.6788  0.0861  2 Mn 2.71-2.93
Mn  0.1250  0.3750  0.2500  4 I 2.71
Mn  0.0000  0.0000  0.0000  6 I 2.93
I  0.9072  0.8212  0.5260  2 Mn 2.71-2.93
Na  0.6250  0.2500  0.3750  8 I 3.51-3.59
I  0.3812  0.4072  0.0861  2 Mn 2.71-2.93
Mn  0.7500  0.1250  0.8750  4 I 2.71
I  0.4139  0.2951  0.3212  2 Mn 2.71-2.93
I  0.5861  0.8812  0.4072  2 Mn 2.71-2.93
I  0.9139  0.0928  0.6188  2 Mn 2.71-2.93
Mn  0.6250  0.7500  0.8750  4 I 2.71
I  0.2951  0.8812  0.9740  2 Mn 2.71-2.93
I  0.6788  0.4740  0.5928  2 Mn 2.71-2.93
I  0.6188  0.5928  0.9139  2 Mn 2.71-2.93
Mn  0.5000  0.5000  0.5000  6 I 2.93
I  0.8212  0.9139  0.2951  2 Mn 2.71-2.93

Summary:
The value obtained for the density of states at the Fermi level is 42.5 states/eV per cell. The total energy is -0.1464 Ha/atom. Its crystal system is cubic.

***

# 5
## Na2MnI4 (GGA-PBE)

Data for a relaxed structure of Na2MnI4.

a b c (Å): 5.8291 5.8291 8.9494
angles (deg): 70.99 70.99 90.00
With the nearest neighbours (Å) after each atom.
Fractional coordinates of all 7 atoms:
Na  0.6299  0.6299  0.7403  1 I 3.06
Mn  0.0000  0.0000  0.0000  6 I 2.82-2.91
I  0.1773  0.1773  0.6455  1 Mn 2.82, 1 Na 3.06
I  0.0000  0.5000  0.0000  2 Mn 2.91
I  0.5000  0.0000  0.0000  2 Mn 2.91
Na  0.3701  0.3701  0.2597  1 I 3.06
I  0.8227  0.8227  0.3545  1 Mn 2.82, 1 Na 3.06

Summary:
The total energy is -0.1226 Ha/atom. Its crystal system is tetragonal.

***

# 6
## NaMnI4 (GGA-PBE)

Data for a relaxed structure of NaMnI4.

a b c (Å): 6.0051 11.1461 8.5518
angles (deg): 106.48 90.00 105.63
With the nearest neighbours (Å) after each atom.
Fractional coordinates of all 12 atoms:
I  0.5952  0.1904  0.6725  2 Mn 3.00, 1 Na 3.08
Na  0.2561  0.5123  0.2648  4 I 3.08-3.14
I  0.8785  0.7570  0.0058  1 Mn 2.66
I  0.2141  0.4283  0.6337  1 Mn 2.75
I  0.7859  0.5717  0.3663  1 Mn 2.75
I  0.1215  0.2430  0.9942  1 Mn 2.66
Mn  0.9091  0.8181  0.3304  4 I 2.66-2.75
I  0.9619  0.9238  0.6614  2 Mn 2.72-2.75
I  0.0381  0.0762  0.3386  2 Mn 2.72-2.75
Mn  0.0909  0.1819  0.6696  4 I 2.66-2.75
I  0.4048  0.8096  0.3275  2 Mn 3.00, 1 Na 3.08
Na  0.7439  0.4877  0.7352  4 I 3.08-3.14

Summary:
The value obtained for the density of states at the Fermi level is 3.9 states/eV per cell. The total energy is -0.1230 Ha/atom. Its crystal system is monoclinic.

***

# 7
## Na2Mn3I8 (GGA-PBE)

Data for a relaxed structure of Na2Mn3I8.

a b c (Å): 7.4361 8.8130 8.8130
angles (deg): 57.76 81.18 81.18
With the nearest neighbours (Å) after each atom.
Fractional coordinates of all 13 atoms:
I  0.9051  0.3899  0.3899  2 Mn 2.87, 1 Na 3.13
I  0.6328  0.8711  0.3470  2 Mn 2.91-2.95, 2 Na 3.20-3.22
Mn  0.0000  0.2534  0.7466  6 I 2.87-2.96
Na  0.3960  0.7289  0.7289  5 I 3.13-3.22
Mn  0.5000  0.0000  0.0000  6 I 2.91-2.93
I  0.1314  0.1046  0.1046  3 Mn 2.93-2.96
Mn  0.0000  0.7466  0.2534  6 I 2.87-2.96
I  0.3672  0.6530  0.1289  2 Mn 2.91-2.95, 2 Na 3.20-3.22
I  0.0949  0.6101  0.6101  2 Mn 2.87, 1 Na 3.13
Na  0.6040  0.2711  0.2711  5 I 3.13-3.22
I  0.6328  0.3470  0.8711  2 Mn 2.91-2.95, 2 Na 3.20-3.22
I  0.8686  0.8954  0.8954  3 Mn 2.93-2.96
I  0.3672  0.1289  0.6530  2 Mn 2.91-2.95, 2 Na 3.20-3.22

Summary:
The total energy is -0.1443 Ha/atom. Its crystal system is monoclinic.

***

# 8
## NaMn2I4 (GGA-PBE)

Data for a relaxed structure of NaMn2I4.

a b c (Å): 7.7349 7.7349 7.7349
angles (deg): 98.34 98.34 135.24
With the nearest neighbours (Å) after each atom.
Fractional coordinates of all 7 atoms:
I  0.6059  0.7966  0.4025  2 Mn 2.75
Mn  0.2500  0.7500  0.5000  4 I 2.75, 2 Mn 2.94
I  0.3941  0.2034  0.5975  2 Mn 2.75
Mn  0.7500  0.2500  0.5000  4 I 2.75, 2 Mn 2.94
I  0.7966  0.3941  0.1907  2 Mn 2.75
I  0.2034  0.6059  0.8093  2 Mn 2.75
Na  0.5000  0.5000  0.0000  4 I 3.19

Summary:
The value obtained for the density of states at the Fermi level is 1.0 states/eV per cell. The total energy is -0.1531 Ha/atom. Its crystal system is tetragonal.

***

# 9
## Na2MnI (GGA-PBE)

Data for a relaxed structure of Na2MnI.

a b c (Å): 8.6057 8.6057 7.1093
angles (deg): 52.75 52.75 90.00
With the nearest neighbours (Å) after each atom.
Fractional coordinates of all 8 atoms:
Na  0.3750  0.3624  0.7500  2 I 3.11, 2 Mn 3.25
Na  0.1124  0.6250  0.2500  2 I 3.11, 2 Mn 3.25
I  0.0000  0.0000  0.0000  4 Na 3.11
I  0.7500  0.2500  0.5000  4 Na 3.11
Na  0.8750  0.8876  0.7500  2 I 3.11, 2 Mn 3.25
Mn  0.5000  0.5000  0.0000  4 Na 3.25
Na  0.6376  0.1250  0.2500  2 I 3.11, 2 Mn 3.25
Mn  0.2500  0.7500  0.5000  4 Na 3.25

Summary:
The value obtained for the density of states at the Fermi level is 6.0 states/eV per cell. The total energy is -0.1152 Ha/atom. Its crystal system is tetragonal.

***

# 10
## Na2Mn2I7 (GGA-PBE)

Data for a relaxed structure of Na2Mn2I7.

a b c (Å): 7.0687 8.5542 8.5542
angles (deg): 103.16 98.05 98.05
With the nearest neighbours (Å) after each atom.
Fractional coordinates of all 11 atoms:
I  0.2426  0.3956  0.3956  1 Mn 2.63
I  0.7265  0.0747  0.4165  1 Mn 2.63
I  0.0000  0.0000  0.0000  2 Mn 2.70
I  0.7574  0.6044  0.6044  1 Mn 2.63
Mn  0.0979  0.7685  0.7685  4 I 2.63-2.70
I  0.2735  0.5835  0.9253  1 Mn 2.63
Na  0.5000  0.6983  0.3017  6 I 3.25-3.46
Mn  0.9021  0.2315  0.2315  4 I 2.63-2.70
I  0.2735  0.9253  0.5835  1 Mn 2.63
I  0.7265  0.4165  0.0747  1 Mn 2.63
Na  0.5000  0.3017  0.6983  6 I 3.25-3.46

Summary:
The value obtained for the density of states at the Fermi level is 5.9 states/eV per cell. The total energy is -0.1294 Ha/atom. Its crystal system is monoclinic.